An optimized crystal structure of Tb3PdPt8, computed with PBE.

abc: 5.4033 5.4033 26.4155
angles: 90.00 90.00 120.00
Space group R3m (No. 160, hexagonal axes)
Symmetry-distinct sites (fractional):
Tb (0.0000, 0.0000, 0.0000) (multiplicity 3)
Tb (0.0000, 0.0000, 0.1311) (multiplicity 3)
Tb (0.0000, 0.0000, 0.6092) (multiplicity 3)
Pd (0.0000, 0.0000, 0.4903) (multiplicity 3)
Pt (0.0000, 0.0000, 0.3103) (multiplicity 3)
Pt (0.0000, 0.0000, 0.8105) (multiplicity 3)
Pt (0.9997, 0.4999, 0.0598) (multiplicity 9)
Pt (0.0030, 0.5015, 0.5610) (multiplicity 9)

## Properties
Crystal system: trigonal
Total energy (eV/atom): -6.5710
ΔH_f (0 K) (eV per atom): -0.95